Record 1
Below is a geometry-optimized LaH3Pd structure, with properties calculated at the GGA-PBE level.

Lattice parameters (Å, degrees): 4.484 9.267 6.026 90.00 90.00 90.00
Sites, in units of the cell vectors:
La  0.000  0.000  0.000
La  0.000  0.500  0.000
La  0.500  0.000  0.500
La  0.500  0.500  0.500
H  0.003  0.105  0.383
H  0.003  0.395  0.383
H  0.095  0.250  0.872
H  0.405  0.750  0.372
H  0.497  0.605  0.883
H  0.497  0.895  0.883
H  0.503  0.105  0.117
H  0.503  0.395  0.117
H  0.595  0.250  0.628
H  0.905  0.750  0.128
H  0.997  0.605  0.617
H  0.997  0.895  0.617
Pd  0.007  0.750  0.411
Pd  0.493  0.250  0.911
Pd  0.507  0.750  0.089
Pd  0.993  0.250  0.589

Output
Symmetry: No. 62
Density of states at the Fermi level: 0.158 states/eV/atom
Raw total energy: -22.48 eV per formula unit
M_tot: 0.000 μB/atom


Record 2
Below is a geometry-optimized LaH3Pd structure, with properties calculated at the GGA-PBE level.

Lattice parameters (Å, degrees): 4.439 4.877 6.233 90.00 110.60 90.00
Sites, in units of the cell vectors:
La  0.120  0.000  0.268
La  0.880  0.500  0.732
H  0.036  0.503  0.164
H  0.346  0.265  0.622
H  0.455  0.667  0.865
H  0.545  0.167  0.135
H  0.654  0.765  0.378
H  0.964  0.003  0.836
Pd  0.372  0.020  0.838
Pd  0.628  0.520  0.162

Output
Symmetry: No. 4
Density of states at the Fermi level: 0.104 states/eV/atom
Raw total energy: -22.78 eV per formula unit
M_tot: 0.000 μB/atom


Record 3
Below is a geometry-optimized La3H3Pd structure, with properties calculated at the GGA-PBE level.

Lattice parameters (Å, degrees): 6.524 6.524 6.524 90.00 90.00 90.00
Sites, in units of the cell vectors:
La  0.000  0.250  0.500
La  0.000  0.750  0.500
La  0.250  0.500  0.000
La  0.500  0.000  0.250
La  0.500  0.000  0.750
La  0.750  0.500  0.000
H  0.000  0.500  0.250
H  0.000  0.500  0.750
H  0.250  0.000  0.500
H  0.500  0.250  0.000
H  0.500  0.750  0.000
H  0.750  0.000  0.500
Pd  0.000  0.000  0.000
Pd  0.500  0.500  0.500

Output
Symmetry: No. 223
Density of states at the Fermi level: 1.159 states/eV/atom
Raw total energy: -32.47 eV per formula unit
M_tot: 0.001 μB/atom


Record 4
Below is a geometry-optimized LaH3Pd structure, with properties calculated at the GGA-PBE level.

Lattice parameters (Å, degrees): 6.662 6.662 5.943 108.19 108.19 28.77
Sites, in units of the cell vectors:
La  0.102  0.102  0.317
La  0.898  0.898  0.683
H  0.091  0.091  0.722
H  0.196  0.196  0.016
H  0.299  0.299  0.429
H  0.701  0.701  0.571
H  0.804  0.804  0.984
H  0.909  0.909  0.278
Pd  0.350  0.350  0.147
Pd  0.650  0.650  0.853

Output
Symmetry: No. 12
Density of states at the Fermi level: 0.354 states/eV/atom
Raw total energy: -21.52 eV per formula unit
M_tot: 0.000 μB/atom


Record 5
Below is a geometry-optimized LaPmH8Pd2 structure, with properties calculated at the GGA-PBE level.

Lattice parameters (Å, degrees): 7.041 7.041 7.041 39.26 39.26 39.26
Sites, in units of the cell vectors:
La  0.000  0.000  0.000
Pm  0.500  0.500  0.500
H  0.031  0.031  0.598
H  0.031  0.598  0.031
H  0.352  0.352  0.352
H  0.402  0.969  0.969
H  0.598  0.031  0.031
H  0.648  0.648  0.648
H  0.969  0.402  0.969
H  0.969  0.969  0.402
Pd  0.259  0.259  0.259
Pd  0.741  0.741  0.741

Output
Symmetry: No. 166
Density of states at the Fermi level: 0.249 states/eV/atom
Raw total energy: -50.42 eV per formula unit
M_tot: 0.000 μB/atom


Record 6
Below is a geometry-optimized LaH8PdPt2 structure, with properties calculated at the GGA-PBE level.

Lattice parameters (Å, degrees): 4.265 4.265 7.304 92.86 92.86 64.51
Sites, in units of the cell vectors:
La  0.000  0.000  0.000
H  0.252  0.721  0.310
H  0.260  0.260  0.498
H  0.279  0.748  0.690
H  0.348  0.348  0.957
H  0.652  0.652  0.043
H  0.721  0.252  0.310
H  0.740  0.740  0.502
H  0.748  0.279  0.690
Pd  0.000  0.000  0.500
Pt  0.323  0.323  0.723
Pt  0.677  0.677  0.277

Output
Symmetry: No. 12
Density of states at the Fermi level: 0.116 states/eV/atom
Raw total energy: -51.49 eV per formula unit
M_tot: 0.000 μB/atom


Record 7
Below is a geometry-optimized LaH8Pd2Pt structure, with properties calculated at the GGA-PBE level.

Lattice parameters (Å, degrees): 6.436 6.436 6.436 43.76 43.76 43.76
Sites, in units of the cell vectors:
La  0.000  0.000  0.000
H  0.160  0.415  0.761
H  0.239  0.840  0.585
H  0.322  0.322  0.322
H  0.415  0.761  0.160
H  0.585  0.239  0.840
H  0.678  0.678  0.678
H  0.761  0.160  0.415
H  0.840  0.585  0.239
Pd  0.227  0.227  0.227
Pd  0.773  0.773  0.773
Pt  0.500  0.500  0.500

Output
Symmetry: No. 148
Density of states at the Fermi level: 0.167 states/eV/atom
Raw total energy: -51.05 eV per formula unit
M_tot: 0.000 μB/atom


Record 8
Below is a geometry-optimized LaH6PdPt structure, with properties calculated at the GGA-PBE level.

Lattice parameters (Å, degrees): 4.852 4.852 4.362 90.00 90.00 120.00
Sites, in units of the cell vectors:
La  0.000  0.000  0.000
H  0.505  0.010  0.238
H  0.505  0.010  0.762
H  0.505  0.495  0.238
H  0.505  0.495  0.762
H  0.990  0.495  0.238
H  0.990  0.495  0.762
Pd  0.333  0.667  0.500
Pt  0.667  0.333  0.500

Output
Symmetry: No. 187
Density of states at the Fermi level: 0.140 states/eV/atom
Raw total energy: -39.82 eV per formula unit
M_tot: 0.000 μB/atom